{"formula": "NbRhS3", "functional": "PBE", "state": "optimized geometry", "lattice_angstrom": [[-4.3096, 0.4379, -1.9812], [-0.0266, -4.6629, -0.9728], [-2.0289, -0.8691, 4.2212]], "species": ["S", "Rh", "S", "S", "Nb"], "frac_coords": [[0.5000, 0.0000, 0.0000], [0.5000, 0.5000, 0.5000], [0.0000, 0.5000, 0.0000], [0.0000, 0.0000, 0.5000], [0.0000, 0.0000, 0.0000]], "relative_energy_mev_per_atom": 871, "spacegroup": "Pm-3m, No. 221", "m_tot_mub_per_atom": 0.438, "final_energy_ev_per_cell": -28.29, "raw_formation_energy_ev_per_atom": 0.3034}